1.
DFT (PBE) results for a geometry-optimized RbSr2CoBr8 structure.

- ΔE_f (raw): -1669 kJ/mol of formula units

Cell lengths 6.831, 7.658, 9.266 Å; angles 60.27, 89.97, 89.39 degrees
Each line ends with the local moment (μB).
Fractional coordinates of all 12 atoms:
1 Rb 0.000 0.000 0.500  0.00
2 Sr 0.489 0.256 0.764  0.00
3 Sr 0.511 0.744 0.236  0.00
4 Co 0.000 0.000 0.000  -0.17
5 Br 0.993 0.704 0.278  0.00
6 Br 0.755 0.853 0.906  0.00
7 Br 0.751 0.160 0.082  0.00
8 Br 0.007 0.296 0.722  0.00
9 Br 0.245 0.147 0.094  0.00
10 Br 0.249 0.840 0.918  0.00
11 Br 0.498 0.709 0.576  0.00
12 Br 0.502 0.291 0.424  0.00


2.
DFT (PBE) results for a geometry-optimized RbTbCoBr6 structure.

- ΔE_f (raw): -1135 kJ/mol of formula units

Cell lengths 7.085, 7.085, 7.732 Å; angles 89.86, 90.14, 59.88 degrees
Each line ends with the local moment (μB).
Fractional coordinates of all 9 atoms:
1 Rb 0.000 0.000 0.000  0.00
2 Tb 0.666 0.666 0.500  0.00
3 Co 0.333 0.333 0.500  2.47
4 Br 0.021 0.361 0.299  0.06
5 Br 0.361 0.021 0.701  0.06
6 Br 0.611 0.368 0.705  0.06
7 Br 0.022 0.617 0.701  0.06
8 Br 0.368 0.611 0.295  0.06
9 Br 0.617 0.022 0.299  0.06


3.
DFT (PBE) results for a geometry-optimized RbCoTeBr6 structure.

- ΔE_f (raw): -481 kJ/mol of formula units

Cell lengths 8.545, 7.026, 7.510 Å; angles 67.54, 81.17, 60.50 degrees
Each line ends with the local moment (μB).
Fractional coordinates of all 9 atoms:
1 Rb 0.921 0.131 0.108  0.00
2 Co 0.621 0.690 0.438  1.33
3 Te 0.348 0.284 0.531  0.19
4 Br 0.866 0.591 0.235  0.02
5 Br 0.450 0.808 0.699  0.04
6 Br 0.737 0.297 0.643  0.05
7 Br 0.164 0.423 0.813  0.03
8 Br 0.368 0.684 0.290  0.08
9 Br 0.526 0.092 0.242  0.00


4.
DFT (PBE) results for a geometry-optimized RbCo2TeBr structure.

- ΔE_f (raw): 87 kJ/mol of formula units

Cell lengths 4.829, 7.876, 4.829 Å; angles 90.00, 90.00, 90.00 degrees
Each line ends with the local moment (μB).
Fractional coordinates of all 5 atoms:
1 Te 0.000 0.000 0.000  0.06
2 Co 0.000 0.000 0.500  1.57
3 Co 0.500 0.000 0.000  2.15
4 Br 0.500 0.500 0.500  0.02
5 Rb 0.000 0.500 0.000  0.00


- What is the ΔE_f (raw) in the first record?
  -1669 kJ/mol of formula units